Compound: Cs6AgCl8
Source: the Alexandria database
Functional: PBE
Structure: relaxed

It has space group R-3 (No. 148, hexagonal axes), with a = 10.1222 Å, b = 10.1222 Å, c = 19.9129 Å, α = 90.00°, β = 90.00° and γ = 120.00°. Symmetry generates all atoms from Cs at (0.0226, 0.4007, 0.4182), Ag at (0.0000, 0.0000, 0.5000), Cl at (0.0000, 0.0000, 0.1540) and Cl at (0.0112, 0.2256, 0.5775).

The total energy comes out at -3.120 eV/atom. Its formation energy from raw total energies is -1.6035 eV/atom.